No. 1
# Mg4AlGa2

A relaxed Mg4AlGa2 crystal (PBE, Alexandria via LeMat-Bulk).

Structure (CIF):
```
data_Mg4AlGa2
_chemical_formula_sum 'Mg8 Al2 Ga4'
_symmetry_space_group_name_H-M 'P 1'
_symmetry_Int_Tables_number 1
_cell_length_a 5.660
_cell_length_b 6.847
_cell_length_c 8.582
_cell_angle_alpha 86.68
_cell_angle_beta 70.80
_cell_angle_gamma 66.03
loop_
_symmetry_equiv_pos_as_xyz
'x,y,z'
loop_
_atom_site_label
_atom_site_fract_x
_atom_site_fract_y
_atom_site_fract_z
Mg1 0.000 0.000 0.000
Mg2 0.001 0.504 0.498
Mg3 0.345 0.083 0.239
Mg4 0.348 0.585 0.736
Mg5 0.430 0.532 0.117
Mg6 0.434 0.032 0.609
Mg7 0.913 0.556 0.127
Mg8 0.917 0.053 0.620
Al1 0.421 0.215 0.912
Al2 0.926 0.371 0.824
Ga1 0.420 0.716 0.416
Ga2 0.673 0.793 0.868
Ga3 0.674 0.293 0.368
Ga4 0.927 0.870 0.320
```

- VASP energy (eV/atom) = -2.366
- total magnetization (μB/cell) = 0.0
- energy of formation (eV/f.u.) = -0.4
- density (g cm⁻³) = 3.06

---

No. 2
# MgAl3Ga2

A relaxed MgAl3Ga2 crystal (PBE, Alexandria via LeMat-Bulk).

Structure (CIF):
```
data_MgAl3Ga2
_chemical_formula_sum 'Mg4 Al12 Ga8'
_symmetry_space_group_name_H-M 'C 1 2/m 1'
_symmetry_Int_Tables_number 12
_cell_length_a 17.824
_cell_length_b 2.879
_cell_length_c 9.615
_cell_angle_alpha 90.00
_cell_angle_beta 118.61
_cell_angle_gamma 90.00
loop_
_symmetry_equiv_pos_as_xyz
'x,y,z'
'-x,-y,-z'
'-x,y,-z'
'x,-y,z'
'x+1/2,y+1/2,z'
'-x+1/2,-y+1/2,-z'
'-x+1/2,y+1/2,-z'
'x+1/2,-y+1/2,z'
loop_
_atom_site_label
_atom_site_fract_x
_atom_site_fract_y
_atom_site_fract_z
Mg1 0.126 0.000 0.019
Al1 0.056 0.500 0.673
Al2 0.108 0.000 0.473
Al3 0.209 0.500 0.357
Ga1 0.037 0.500 0.171
Ga2 0.208 0.000 0.819
```

- VASP energy (eV/atom) = -3.147
- total magnetization (μB/cell) = 0.0
- energy of formation (eV/f.u.) = 0.0
- density (g cm⁻³) = 3.75

---

No. 3
# MgAl4Ga4

A relaxed MgAl4Ga4 crystal (PBE, Alexandria via LeMat-Bulk).

Structure (CIF):
```
data_MgAl4Ga4
_chemical_formula_sum 'Mg2 Al8 Ga8'
_symmetry_space_group_name_H-M 'I 4/m m m'
_symmetry_Int_Tables_number 139
_symmetry_space_group_name_Hall '-I 4 2'
_cell_length_a 8.478
_cell_length_b 8.478
_cell_length_c 4.472
_cell_angle_alpha 90.00
_cell_angle_beta 90.00
_cell_angle_gamma 90.00
loop_
_atom_site_label
_atom_site_fract_x
_atom_site_fract_y
_atom_site_fract_z
Mg1 0.000 0.000 0.000
Al1 0.169 0.169 0.500
Ga1 0.000 0.333 0.000
```

- VASP energy (eV/atom) = -3.163
- total magnetization (μB/cell) = 0.0
- energy of formation (eV/f.u.) = 0.2
- density (g cm⁻³) = 4.25

---

No. 4
# Mg2Al3Ga5

A relaxed Mg2Al3Ga5 crystal (PBE, Alexandria via LeMat-Bulk).

Structure (CIF):
```
data_Mg2Al3Ga5
_chemical_formula_sum 'Mg8 Al12 Ga20'
_symmetry_space_group_name_H-M 'I b a m'
_symmetry_Int_Tables_number 72
_symmetry_space_group_name_Hall '-I 2 2c'
_cell_length_a 11.285
_cell_length_b 11.964
_cell_length_c 5.907
_cell_angle_alpha 90.00
_cell_angle_beta 90.00
_cell_angle_gamma 90.00
loop_
_atom_site_label
_atom_site_fract_x
_atom_site_fract_y
_atom_site_fract_z
Mg1 0.245 0.122 0.000
Al1 0.000 0.000 0.250
Al2 0.137 0.371 0.000
Ga1 0.000 0.243 0.250
Ga2 0.000 0.500 0.250
Ga3 0.145 0.119 0.500
```

- VASP energy (eV/atom) = -2.939
- total magnetization (μB/cell) = 0.0
- energy of formation (eV/f.u.) = 0.2
- density (g cm⁻³) = 3.98

---

No. 5
# Mg2AlGa

A relaxed Mg2AlGa crystal (PBE, Alexandria via LeMat-Bulk).

Structure (CIF):
```
data_Mg2AlGa
_chemical_formula_sum 'Mg8 Al4 Ga4'
_symmetry_space_group_name_H-M 'I -4 2 d'
_symmetry_Int_Tables_number 122
_symmetry_space_group_name_Hall 'I -4 2bw'
_cell_length_a 4.176
_cell_length_b 4.176
_cell_length_c 19.618
_cell_angle_alpha 90.00
_cell_angle_beta 90.00
_cell_angle_gamma 90.00
loop_
_atom_site_label
_atom_site_fract_x
_atom_site_fract_y
_atom_site_fract_z
Mg1 0.249 0.250 0.125
Al1 0.000 0.000 0.500
Ga1 0.000 0.000 0.000
```

- VASP energy (eV/atom) = -2.343
- total magnetization (μB/cell) = 0.0
- energy of formation (eV/f.u.) = 0.6
- density (g cm⁻³) = 2.82

---

No. 6
# Mg2AlGa

A relaxed Mg2AlGa crystal (PBE, Alexandria via LeMat-Bulk).

Structure (CIF):
```
data_Mg2AlGa
_chemical_formula_sum 'Mg2 Al1 Ga1'
_symmetry_space_group_name_H-M 'P 4/m m m'
_symmetry_Int_Tables_number 123
_symmetry_space_group_name_Hall '-P 4 2'
_cell_length_a 3.374
_cell_length_b 3.374
_cell_length_c 6.844
_cell_angle_alpha 90.00
_cell_angle_beta 90.00
_cell_angle_gamma 90.00
loop_
_atom_site_label
_atom_site_fract_x
_atom_site_fract_y
_atom_site_fract_z
Mg1 0.000 0.000 0.245
Al1 0.500 0.500 0.500
Ga1 0.500 0.500 0.000
```

- VASP energy (eV/atom) = -2.524
- total magnetization (μB/cell) = 0.0
- energy of formation (eV/f.u.) = -0.1
- density (g cm⁻³) = 3.10

---

No. 7
# Mg5Al2Ga

A relaxed Mg5Al2Ga crystal (PBE, Alexandria via LeMat-Bulk).

Structure (CIF):
```
data_Mg5Al2Ga
_chemical_formula_sum 'Mg20 Al8 Ga4'
_symmetry_space_group_name_H-M 'C m c m'
_symmetry_Int_Tables_number 63
_symmetry_space_group_name_Hall '-C 2c 2'
_cell_length_a 3.320
_cell_length_b 10.538
_cell_length_c 18.973
_cell_angle_alpha 90.00
_cell_angle_beta 90.00
_cell_angle_gamma 90.00
loop_
_atom_site_label
_atom_site_fract_x
_atom_site_fract_y
_atom_site_fract_z
Mg1 0.000 0.029 0.250
Mg2 0.000 0.138 0.028
Mg3 0.000 0.424 0.110
Al1 0.000 0.300 0.652
Ga1 0.000 0.304 0.250
```

- E above lowest polymorph (kJ per mole of atoms) = 0.00
- VASP energy (eV/atom) = -2.316
- total magnetization (μB/cell) = 0.0
- energy of formation (eV/f.u.) = 0.0
- density (g cm⁻³) = 2.45

---

No. 8
# MgAl6Ga12

A relaxed MgAl6Ga12 crystal (PBE, Alexandria via LeMat-Bulk).

Structure (CIF):
```
data_MgAl6Ga12
_chemical_formula_sum 'Mg3 Al18 Ga36'
_symmetry_space_group_name_H-M 'R -3 m'
_symmetry_Int_Tables_number 166
_symmetry_space_group_name_Hall '-R 3 2"'
_cell_length_a 12.1364
_cell_length_b 12.1364
_cell_length_c 8.5206
_cell_angle_alpha 90.00
_cell_angle_beta 90.00
_cell_angle_gamma 120.00
loop_
_atom_site_label
_atom_site_fract_x
_atom_site_fract_y
_atom_site_fract_z
Mg1 0.0000 0.0000 0.0000
Al1 0.0685 0.5343 0.2292
Ga1 0.0000 0.3885 0.5000
Ga2 0.0812 0.1624 0.2713
```

- E above lowest polymorph (kJ per mole of atoms) = 2.83
- VASP energy (eV/atom) = -3.137
- total magnetization (μB/cell) = 0.0
- energy of formation (eV/f.u.) = 0.8
- density (g cm⁻³) = 4.69

---

No. 9
# MgAlGa6

A relaxed MgAlGa6 crystal (PBE, Alexandria via LeMat-Bulk).

Structure (CIF):
```
data_MgAlGa6
_chemical_formula_sum 'Mg2 Al2 Ga12'
_symmetry_space_group_name_H-M 'C 1 2/m 1'
_symmetry_Int_Tables_number 12
_cell_length_a 5.616
_cell_length_b 6.143
_cell_length_c 9.284
_cell_angle_alpha 90.00
_cell_angle_beta 95.50
_cell_angle_gamma 90.00
loop_
_symmetry_equiv_pos_as_xyz
'x,y,z'
'-x,-y,-z'
'-x,y,-z'
'x,-y,z'
'x+1/2,y+1/2,z'
'-x+1/2,-y+1/2,-z'
'-x+1/2,y+1/2,-z'
'x+1/2,-y+1/2,z'
loop_
_atom_site_label
_atom_site_fract_x
_atom_site_fract_y
_atom_site_fract_z
Mg1 0.000 0.000 0.000
Al1 0.000 0.000 0.500
Ga1 0.019 0.500 0.134
Ga2 0.244 0.273 0.688
```

- E above lowest polymorph (kJ per mole of atoms) = 3.58
- VASP energy (eV/atom) = -2.930
- total magnetization (μB/cell) = 0.0
- energy of formation (eV/f.u.) = 0.1
- density (g cm⁻³) = 4.89

---

No. 10
# MgAlGa

A relaxed MgAlGa crystal (PBE, Alexandria via LeMat-Bulk).

Structure (CIF):
```
data_MgAlGa
_chemical_formula_sum 'Mg2 Al2 Ga2'
_symmetry_space_group_name_H-M 'P 1'
_symmetry_Int_Tables_number 1
_cell_length_a 4.181
_cell_length_b 5.092
_cell_length_c 5.946
_cell_angle_alpha 75.34
_cell_angle_beta 89.78
_cell_angle_gamma 65.94
loop_
_symmetry_equiv_pos_as_xyz
'x,y,z'
loop_
_atom_site_label
_atom_site_fract_x
_atom_site_fract_y
_atom_site_fract_z
Mg1 0.000 0.000 0.000
Mg2 0.320 0.361 0.666
Al1 0.327 0.346 0.177
Al2 0.656 0.689 0.337
Ga1 0.669 0.661 0.854
Ga2 0.987 0.026 0.488
```

- VASP energy (eV/atom) = -2.810
- total magnetization (μB/cell) = 0.0
- energy of formation (eV/f.u.) = -0.1
- density (g cm⁻³) = 3.62

---

No. 11
# MgAlGa

A relaxed MgAlGa crystal (PBE, Alexandria via LeMat-Bulk).

Structure (CIF):
```
data_MgAlGa
_chemical_formula_sum 'Mg2 Al2 Ga2'
_symmetry_space_group_name_H-M 'P -1'
_symmetry_Int_Tables_number 2
_cell_length_a 3.077
_cell_length_b 4.925
_cell_length_c 7.367
_cell_angle_alpha 95.81
_cell_angle_beta 90.12
_cell_angle_gamma 90.09
loop_
_symmetry_equiv_pos_as_xyz
'x,y,z'
'-x,-y,-z'
loop_
_atom_site_label
_atom_site_fract_x
_atom_site_fract_y
_atom_site_fract_z
Mg1 0.000 0.223 0.348
Al1 0.000 0.500 0.000
Al2 0.500 0.000 0.000
Ga1 0.500 0.283 0.696
```

- VASP energy (eV/atom) = -2.825
- total magnetization (μB/cell) = 0.0
- energy of formation (eV/f.u.) = -0.1
- density (g cm⁻³) = 3.62

---

No. 12
# MgAlGa

A relaxed MgAlGa crystal (PBE, Alexandria via LeMat-Bulk).

Structure (CIF):
```
data_MgAlGa
_chemical_formula_sum 'Mg4 Al4 Ga4'
_symmetry_space_group_name_H-M 'C m c m'
_symmetry_Int_Tables_number 63
_symmetry_space_group_name_Hall '-C 2c 2'
_cell_length_a 3.981
_cell_length_b 13.153
_cell_length_c 4.262
_cell_angle_alpha 90.00
_cell_angle_beta 90.00
_cell_angle_gamma 90.00
loop_
_atom_site_label
_atom_site_fract_x
_atom_site_fract_y
_atom_site_fract_z
Mg1 0.000 0.082 0.250
Al1 0.000 0.250 0.750
Ga1 0.000 0.402 0.250
```

- VASP energy (eV/atom) = -2.850
- total magnetization (μB/cell) = 0.0
- energy of formation (eV/f.u.) = -0.2
- density (g cm⁻³) = 3.60